Entry 1:
The following is a PBE calculation of crystalline Dy3In at its relaxed geometry, from the Alexandria database.

abc: 3.4817 5.9812 6.5440
angles: 117.19 105.43 90.00
Fractional coordinates of all 4 atoms:
Dy 0.5000 0.4761 0.0000
Dy 0.2690 0.6089 0.5380
Dy 0.7310 0.0709 0.4620
In 0.0000 0.0108 0.0000

- SG = No. 44

---

Entry 2:
The following is a PBE calculation of crystalline Pm6NdEr6 at its relaxed geometry, from the Alexandria database.

abc: 6.6084 6.6513 11.1188
angles: 90.00 90.00 115.44
Fractional coordinates of all 13 atoms:
Pm 0.7275 0.2596 0.5000
Pm 0.6656 0.3839 0.0000
Pm 0.3344 0.6161 0.0000
Pm 0.0000 0.0000 0.3320
Pm 0.0000 0.0000 0.6680
Pm 0.2725 0.7404 0.5000
Nd 0.0000 0.0000 0.0000
Er 0.5000 0.5000 0.6994
Er 0.5000 0.5000 0.3006
Er 0.5000 0.0000 0.7821
Er 0.5000 0.0000 0.2179
Er 0.0000 0.5000 0.2332
Er 0.0000 0.5000 0.7668

- SG = No. 10

---

| no. | energy of formation from the pure elements (eV/atom) | M_tot (μB/f.u.) |
| --- | --- | --- |
| 1 | -0.228 | 0.0 |
| 2 | 0.210 | 0.0 |